Record 1
# Y2NiC

A relaxed Y2NiC crystal (PBE-GGA, Alexandria via LeMat-Bulk).

Output
V   164.6 Å³ per cell

a = 5.9930 Å, b = 5.9930 Å, c = 5.9930 Å
α = 112.28°, β = 112.28°, γ = 103.99°
Closest atoms and distances in Å follow each position.
Sites, in units of the cell vectors:
Y 0.0749 0.6250 0.9499  2 C 2.33
Y 0.3750 0.3249 0.4499  2 C 2.33
Y 0.6751 0.1250 0.0501  2 C 2.33
Y 0.8750 0.9251 0.5501  2 C 2.33
Ni 0.2500 0.7500 0.5000  4 Y 2.77
Ni 0.5000 0.5000 0.0000  4 Y 2.77
C 0.0000 0.0000 0.0000  4 Y 2.33
C 0.7500 0.2500 0.5000  4 Y 2.33

---

Record 2
# YNiC3

A relaxed YNiC3 crystal (PBE-GGA, Alexandria via LeMat-Bulk).

Output
Energy above the most stable polymorph in this dataset   0.00 eV per formula unit
V   57.4 Å³ per cell

a = 3.8564 Å, b = 3.8564 Å, c = 3.8564 Å
α = 90.00°, β = 90.00°, γ = 90.00°
Closest atoms and distances in Å follow each position.
Sites, in units of the cell vectors:
Y 0.0000 0.0000 0.0000  12 C 2.73
Ni 0.5000 0.5000 0.5000  6 C 1.93
C 0.0000 0.5000 0.5000  2 Ni 1.93
C 0.5000 0.0000 0.5000  2 Ni 1.93
C 0.5000 0.5000 0.0000  2 Ni 1.93

---

Record 3
# Y4Ni13C4

A relaxed Y4Ni13C4 crystal (PBE-GGA, Alexandria via LeMat-Bulk).

Output
V   272.4 Å³ per cell

a = 8.3963 Å, b = 8.3963 Å, c = 3.8646 Å
α = 90.00°, β = 90.00°, γ = 91.27°
Closest atoms and distances in Å follow each position.
Sites, in units of the cell vectors:
Y 0.1887 0.8113 0.0000  8 Ni 2.68-2.98
Y 0.3485 0.3485 0.0000  5 Ni 2.65-2.91, 4 C 2.71
Y 0.6515 0.6515 0.0000  5 Ni 2.65-2.91, 4 C 2.71
Y 0.8113 0.1887 0.0000  8 Ni 2.68-2.98
Ni 0.0000 0.0000 0.5000  8 Ni 2.41-2.51
Ni 0.0000 0.5000 0.0000  2 C 1.93
Ni 0.0736 0.2908 0.5000  1 C 1.88
Ni 0.1225 0.1225 0.0000  6 Ni 2.41-2.43, 3 Y 2.65-2.68
Ni 0.2157 0.5685 0.5000  2 C 1.89-1.91
Ni 0.2908 0.0736 0.5000  1 C 1.88
Ni 0.4315 0.7843 0.5000  2 C 1.89-1.91
Ni 0.5000 0.0000 0.0000  2 C 1.93
Ni 0.5685 0.2157 0.5000  2 C 1.89-1.91
Ni 0.7092 0.9264 0.5000  1 C 1.88
Ni 0.7843 0.4315 0.5000  2 C 1.89-1.91
Ni 0.8775 0.8775 0.0000  6 Ni 2.41-2.43, 3 Y 2.65-2.68
Ni 0.9264 0.7092 0.5000  1 C 1.88
C 0.0000 0.5000 0.5000  6 Ni 1.88-1.93
C 0.4431 0.5569 0.5000  1 C 1.37
C 0.5000 0.0000 0.5000  6 Ni 1.88-1.93
C 0.5569 0.4431 0.5000  1 C 1.37

---

Record 4
# YNi2C

A relaxed YNi2C crystal (PBE-GGA, Alexandria via LeMat-Bulk).

Output
V   122.8 Å³ per cell

a = 6.9550 Å, b = 6.9550 Å, c = 6.9550 Å
α = 142.69°, β = 142.69°, γ = 53.79°
Closest atoms and distances in Å follow each position.
Sites, in units of the cell vectors:
Y 0.3750 0.6250 0.7500  8 Ni 2.93, 4 C 3.15
Y 0.6250 0.3750 0.2500  8 Ni 2.93, 4 C 3.15
Ni 0.0000 0.0000 0.0000  2 C 1.91
Ni 0.0000 0.0000 0.5000  2 C 1.91
Ni 0.0000 0.5000 0.0000  2 C 1.91
Ni 0.5000 0.0000 0.5000  2 C 1.91
C 0.1250 0.8750 0.2500  4 Ni 1.91
C 0.8750 0.1250 0.7500  4 Ni 1.91

---

no.,raw total energy (Ha/atom),formation energy (eV/atom),D(E_F) (states/eV/atom)
1,-0.253,0.1110,0.1417
2,-0.244,1.3406,0.8389
3,-0.254,-0.3317,0.5327
4,-0.249,0.0354,0.9016